No. 1
Computed, not measured: crystalline AgSnBiTe2 at its relaxed geometry at the PBE-GGA level of DFT.

Magnetic moment: 0.00 μB/f.u.
Total energy: -2.93 eV/atom
Crystal system: tetragonal
Raw formation energy: 470 meV/atom
Space-group type: P4/mmm

Lattice parameters (Å, degrees): 6.0504 6.0504 5.2094 90.00 90.00 90.00
Last column: nearest neighbours and their distance in Å.
Fractional coordinates of all 5 atoms:
Ag1 0.0000 0.0000 0.0000  2 Bi 2.60
Sn1 0.5000 0.5000 0.0000  8 Te 3.99, 4 Ag 4.28
Bi1 0.0000 0.0000 0.5000  2 Ag 2.60
Te1 0.0000 0.5000 0.5000  2 Bi 3.03
Te2 0.5000 0.0000 0.5000  2 Bi 3.03



No. 2
Computed, not measured: crystalline Ac3AlGa2 at its relaxed geometry at the PBE-GGA level of DFT.

Magnetic moment: 0.00 μB/f.u.
E_form: -1.39 eV/f.u.
Total energy: -3.92 eV/atom
Crystal system: monoclinic
Space-group type: C2/m
Energy above the most stable polymorph in this dataset: 178.7 meV per atom

Lattice parameters (Å, degrees): 8.7200 8.7200 12.0805 112.76 112.76 28.82
Last column: nearest neighbours and their distance in Å.
Fractional coordinates of all 12 atoms:
Ac1 0.0477 0.0477 0.2567  3 Ga 3.18-3.29, 2 Al 3.41
Ac2 0.2241 0.2241 0.6217  3 Ga 3.15-3.28, 2 Al 3.50
Ac3 0.3638 0.3638 0.9893  3 Ga 3.19-3.25, 1 Al 3.51
Ac4 0.6362 0.6362 0.0107  3 Ga 3.19-3.25, 1 Al 3.51
Ac5 0.7759 0.7759 0.3783  3 Ga 3.15-3.28, 2 Al 3.50
Ac6 0.9523 0.9523 0.7433  3 Ga 3.18-3.29, 2 Al 3.41
Al1 0.4067 0.4067 0.2985  4 Ga 2.63-2.76
Al2 0.5933 0.5933 0.7015  4 Ga 2.63-2.76
Ga1 0.1564 0.1564 0.8302  2 Al 2.63
Ga2 0.4268 0.4268 0.5274  2 Al 2.65-2.76, 1 Ga 2.81
Ga3 0.5732 0.5732 0.4726  2 Al 2.65-2.76, 1 Ga 2.81
Ga4 0.8436 0.8436 0.1698  2 Al 2.63



No. 3
Computed, not measured: crystalline Ca2Pd2Se at its relaxed geometry at the PBE-GGA level of DFT.

Magnetic moment: 0.00 μB/f.u.
Total energy: -4.41 eV/atom
Crystal system: tetragonal
Raw formation energy: -834 meV/atom
Space-group type: P4/mbm
Energy above the most stable polymorph in this dataset: 126.3 meV per atom

Lattice parameters (Å, degrees): 7.4270 7.4270 3.9746 90.00 90.00 90.00
Last column: nearest neighbours and their distance in Å.
Fractional coordinates of all 10 atoms:
Ca1 0.1783 0.3217 0.0000  6 Pd 2.84-3.04
Ca2 0.3217 0.8217 0.0000  6 Pd 2.84-3.04
Ca3 0.6783 0.1783 0.0000  6 Pd 2.84-3.04
Ca4 0.8217 0.6783 0.0000  6 Pd 2.84-3.04
Pd1 0.1279 0.6279 0.5000  1 Pd 2.69, 2 Ca 2.84, 2 Se 2.92
Pd2 0.3721 0.1279 0.5000  1 Pd 2.69, 2 Ca 2.84, 2 Se 2.92
Pd3 0.6279 0.8721 0.5000  1 Pd 2.69, 2 Ca 2.84, 2 Se 2.92
Pd4 0.8721 0.3721 0.5000  1 Pd 2.69, 2 Ca 2.84, 2 Se 2.92
Se1 0.0000 0.0000 0.5000  4 Pd 2.92
Se2 0.5000 0.5000 0.5000  4 Pd 2.92